ZnCr2SbO6 after structural relaxation, computed with GGA+U.

The raw total energy is -0.2423 Ha/atom. The calculation puts the density of states at the Fermi level at 0.20 states/eV per atom.

Cell: 5.5238 5.5238 5.5238 Å, 57.32 57.32 57.32°
Closest atoms and distances in Å follow each position.
Fractional positions:
Zn (0.0000, 0.0000, 0.0000)  6 O 2.08-2.30
Cr (0.2164, 0.2164, 0.2164)  6 O 2.03-2.04
Cr (0.7176, 0.7176, 0.7176)  6 O 2.00-2.07
Sb (0.5069, 0.5069, 0.5069)  6 O 2.14-2.19
O (0.0840, 0.8473, 0.4356)  2 Cr 2.00-2.04, 1 Sb 2.14
O (0.3374, 0.5951, 0.9241)  2 Cr 2.03-2.07, 1 Zn 2.08, 1 Sb 2.19
O (0.4356, 0.0840, 0.8473)  2 Cr 2.00-2.04, 1 Sb 2.14
O (0.5951, 0.9241, 0.3374)  2 Cr 2.03-2.07, 1 Zn 2.08, 1 Sb 2.19
O (0.8473, 0.4356, 0.0840)  2 Cr 2.00-2.04, 1 Sb 2.14
O (0.9241, 0.3374, 0.5951)  2 Cr 2.03-2.07, 1 Zn 2.08, 1 Sb 2.19